No. 1
# Ti2CrFe PBE-GGA optimized geometry
# calculated formation energy = 381 meV/atom
# energy = -64.70 eV per cell
# D(E_F) = 9.09 states/eV/cell
# space group = I-42d (122)
data_Ti2CrFe
_chemical_formula_sum 'Ti4 Cr2 Fe2'
_cell_length_a 5.336
_cell_length_b 5.336
_cell_length_c 5.336
_cell_angle_alpha 103.77
_cell_angle_beta 103.77
_cell_angle_gamma 121.60
_symmetry_space_group_name_H-M 'P 1'
_symmetry_Int_Tables_number 1
_symmetry_space_group_name_Hall 'P 1'
loop_
_atom_site_label
_atom_site_type_symbol
_atom_site_fract_x
_atom_site_fract_y
_atom_site_fract_z
Ti1 Ti 0.106 0.625 0.981
Ti2 Ti 0.375 0.356 0.481
Ti3 Ti 0.644 0.125 0.019
Ti4 Ti 0.875 0.894 0.519
Cr1 Cr 0.250 0.750 0.500
Cr2 Cr 0.500 0.500 0.000
Fe1 Fe 0.000 0.000 0.000
Fe2 Fe 0.750 0.250 0.500


No. 2
# Ti2CrFe PBE-GGA optimized geometry
# calculated formation energy = -167 meV/atom
# energy = -34.54 eV per cell
# D(E_F) = 5.25 states/eV/cell
# space group = P4/mmm (123)
data_Ti2CrFe
_chemical_formula_sum 'Ti2 Cr1 Fe1'
_cell_length_a 2.977
_cell_length_b 2.977
_cell_length_c 6.043
_cell_angle_alpha 90.00
_cell_angle_beta 90.00
_cell_angle_gamma 90.00
_symmetry_space_group_name_H-M 'P 1'
_symmetry_Int_Tables_number 1
_symmetry_space_group_name_Hall 'P 1'
loop_
_atom_site_label
_atom_site_type_symbol
_atom_site_fract_x
_atom_site_fract_y
_atom_site_fract_z
Ti1 Ti 0.000 0.000 0.245
Ti2 Ti 0.000 0.000 0.755
Cr1 Cr 0.500 0.500 0.500
Fe1 Fe 0.500 0.500 0.000


No. 3
# Ti2CrFe3 PBE-GGA optimized geometry
# calculated formation energy = -244 meV/atom
# energy = -104.53 eV per cell
# D(E_F) = 14.74 states/eV/cell
# space group = P6_3/mmc (194)
data_Ti2CrFe3
_chemical_formula_sum 'Ti4 Cr2 Fe6'
_cell_length_a 4.794
_cell_length_b 4.794
_cell_length_c 7.662
_cell_angle_alpha 90.00
_cell_angle_beta 90.00
_cell_angle_gamma 120.00
_symmetry_space_group_name_H-M 'P 1'
_symmetry_Int_Tables_number 1
_symmetry_space_group_name_Hall 'P 1'
loop_
_atom_site_label
_atom_site_type_symbol
_atom_site_fract_x
_atom_site_fract_y
_atom_site_fract_z
Ti1 Ti 0.333 0.667 0.062
Ti2 Ti 0.333 0.667 0.438
Ti3 Ti 0.667 0.333 0.562
Ti4 Ti 0.667 0.333 0.938
Cr1 Cr 0.000 0.000 0.000
Cr2 Cr 0.000 0.000 0.500
Fe1 Fe 0.171 0.342 0.750
Fe2 Fe 0.171 0.829 0.750
Fe3 Fe 0.342 0.171 0.250
Fe4 Fe 0.658 0.829 0.750
Fe5 Fe 0.829 0.171 0.250
Fe6 Fe 0.829 0.658 0.250


No. 4
# TiCrFe PBE-GGA optimized geometry
# calculated formation energy = 52 meV/atom
# energy = -51.65 eV per cell
# D(E_F) = 7.15 states/eV/cell
# space group = Fmmm (69)
data_TiCrFe
_chemical_formula_sum 'Ti2 Cr2 Fe2'
_cell_length_a 5.651
_cell_length_b 4.721
_cell_length_c 4.646
_cell_angle_alpha 74.21
_cell_angle_beta 53.50
_cell_angle_gamma 52.29
_symmetry_space_group_name_H-M 'P 1'
_symmetry_Int_Tables_number 1
_symmetry_space_group_name_Hall 'P 1'
loop_
_atom_site_label
_atom_site_type_symbol
_atom_site_fract_x
_atom_site_fract_y
_atom_site_fract_z
Ti1 Ti 0.168 0.832 0.168
Ti2 Ti 0.832 0.168 0.832
Cr1 Cr 0.352 0.352 0.648
Cr2 Cr 0.648 0.648 0.352
Fe1 Fe 0.250 0.250 0.250
Fe2 Fe 0.750 0.750 0.750


No. 5
# Ti2TlCrFe PBE-GGA optimized geometry
# calculated formation energy = 2039 meV/atom
# energy = -26.05 eV per cell
# D(E_F) = 9.71 states/eV/cell
# space group = P4/mmm (123)
# energy above the most stable polymorph in this dataset = 1.425 eV/atom
data_Ti2TlCrFe
_chemical_formula_sum 'Ti2 Tl1 Cr1 Fe1'
_cell_length_a 5.009
_cell_length_b 5.009
_cell_length_c 4.707
_cell_angle_alpha 90.00
_cell_angle_beta 90.00
_cell_angle_gamma 90.00
_symmetry_space_group_name_H-M 'P 1'
_symmetry_Int_Tables_number 1
_symmetry_space_group_name_Hall 'P 1'
loop_
_atom_site_label
_atom_site_type_symbol
_atom_site_fract_x
_atom_site_fract_y
_atom_site_fract_z
Ti1 Ti 0.000 0.500 0.000
Ti2 Ti 0.500 0.000 0.000
Tl1 Tl 0.000 0.000 0.000
Cr1 Cr 0.500 0.500 0.500
Fe1 Fe 0.000 0.000 0.500


No. 6
# Ti2TlCrFe PBE-GGA optimized geometry
# calculated formation energy = 614 meV/atom
# energy = -33.17 eV per cell
# D(E_F) = 5.06 states/eV/cell
# space group = P4/mmm (123)
# energy above the most stable polymorph in this dataset = 0.000 eV/atom
data_Ti2TlCrFe
_chemical_formula_sum 'Ti2 Tl1 Cr1 Fe1'
_cell_length_a 4.426
_cell_length_b 4.426
_cell_length_c 4.970
_cell_angle_alpha 90.00
_cell_angle_beta 90.00
_cell_angle_gamma 90.00
_symmetry_space_group_name_H-M 'P 1'
_symmetry_Int_Tables_number 1
_symmetry_space_group_name_Hall 'P 1'
loop_
_atom_site_label
_atom_site_type_symbol
_atom_site_fract_x
_atom_site_fract_y
_atom_site_fract_z
Ti1 Ti 0.000 0.500 0.000
Ti2 Ti 0.500 0.000 0.000
Tl1 Tl 0.000 0.000 0.500
Cr1 Cr 0.500 0.500 0.500
Fe1 Fe 0.000 0.000 0.000


No. 7
# TiV2CrFe PBE-GGA optimized geometry
# calculated formation energy = 1467 meV/atom
# energy = -36.89 eV per cell
# D(E_F) = 8.97 states/eV/cell
# space group = P4/mmm (123)
data_TiV2CrFe
_chemical_formula_sum 'Ti1 V2 Cr1 Fe1'
_cell_length_a 4.368
_cell_length_b 4.368
_cell_length_c 4.057
_cell_angle_alpha 90.00
_cell_angle_beta 90.00
_cell_angle_gamma 90.00
_symmetry_space_group_name_H-M 'P 1'
_symmetry_Int_Tables_number 1
_symmetry_space_group_name_Hall 'P 1'
loop_
_atom_site_label
_atom_site_type_symbol
_atom_site_fract_x
_atom_site_fract_y
_atom_site_fract_z
Ti1 Ti 0.000 0.000 0.000
V1 V 0.000 0.500 0.000
V2 V 0.500 0.000 0.000
Cr1 Cr 0.500 0.500 0.500
Fe1 Fe 0.000 0.000 0.500


No. 8
# TiZnCrFe PBE-GGA optimized geometry
# calculated formation energy = 32 meV/atom
# energy = -27.13 eV per cell
# D(E_F) = 5.31 states/eV/cell
# space group = F-43m (216)
data_TiZnCrFe
_chemical_formula_sum 'Ti1 Zn1 Cr1 Fe1'
_cell_length_a 4.225
_cell_length_b 4.225
_cell_length_c 4.225
_cell_angle_alpha 60.00
_cell_angle_beta 60.00
_cell_angle_gamma 60.00
_symmetry_space_group_name_H-M 'P 1'
_symmetry_Int_Tables_number 1
_symmetry_space_group_name_Hall 'P 1'
loop_
_atom_site_label
_atom_site_type_symbol
_atom_site_fract_x
_atom_site_fract_y
_atom_site_fract_z
Ti1 Ti 0.000 0.000 0.000
Zn1 Zn 0.500 0.500 0.500
Cr1 Cr 0.750 0.750 0.750
Fe1 Fe 0.250 0.250 0.250


Q: The highest energy belongs to which entry?
A: number 5